[1]
Here is an optimized crystal structure of Ga2HRh from Alexandria. Energies are from PBE.

Computed properties:
E_tot (eV per atom): -4.25
Density (g cm⁻³): 7.966
Fermi-level density of states (states/eV/f.u.): 0.5
Crystal system: tetragonal

Unit cell a=5.8521 b=5.8521 c=5.9248 alpha=90.00 beta=90.00 gamma=90.00
With the nearest neighbours (Å) after each atom.
Space group I-42d (No. 122)
Unique sites:
Ga 0.1718 0.2500 0.1250 x8  2 H 1.92
H 0.0000 0.0000 0.0000 x4  4 Ga 1.92
Rh 0.0000 0.0000 0.5000 x4  4 Ga 2.53

=====

[2]
Here is an optimized crystal structure of As2WBr from Alexandria. Energies are from PBE.

Computed properties:
Formation energy from raw total energies (eV/f.u.): 2.3
E_tot (eV per atom): -5.41
Density (g cm⁻³): 8.109
Fermi-level density of states (states/eV/f.u.): 2.3
Crystal system: orthorhombic

Unit cell a=3.0744 b=4.9933 c=11.0333 alpha=90.00 beta=90.00 gamma=90.00
With the nearest neighbours (Å) after each atom.
Space group Immm (No. 71)
Unique sites:
As 0.0000 0.0000 0.1869 x4  2 W 2.57
W 0.0000 0.5000 0.5000 x2  4 As 2.57
Br 0.0000 0.5000 0.0000 x2  4 W 2.93, 2 Br 3.07, 4 As 3.24

=====

[3]
Here is an optimized crystal structure of SrTl2Pb from Alexandria. Energies are from PBE.

Computed properties:
Formation energy from the elements (eV/f.u.): -0.99
E_tot (eV per atom): -2.78
Density (g cm⁻³): 8.938
Fermi-level density of states (states/eV/f.u.): 0.9
Crystal system: cubic

Unit cell a=8.0563 b=8.0563 c=8.0563 alpha=90.00 beta=90.00 gamma=90.00
With the nearest neighbours (Å) after each atom.
Space group F-43m (No. 216)
Unique sites:
Sr 0.0000 0.0000 0.0000 x4  4 Tl 3.49, 4 Pb 3.49
Tl 0.0000 0.0000 0.5000 x4  4 Tl 3.49, 4 Pb 3.49
Tl 0.2500 0.2500 0.2500 x4  4 Tl 3.49, 4 Sr 3.49
Pb 0.2500 0.2500 0.7500 x4  4 Tl 3.49, 4 Sr 3.49